Record 1
VASP calculation (PBE) on a relaxed BaBeFeMo crystal.

Properties
- Electronic total energy: -4.95 eV per atom

Lattice parameters (Å, degrees): 6.6153 6.6153 6.6153 90.00 90.00 90.00
With the nearest neighbours (Å) after each atom.
Space group F-43m (No. 216)
Asymmetric unit:
Ba (0.0000, 0.0000, 0.0000) [4 per cell]  4 Be 2.86, 4 Fe 2.86
Be (0.2500, 0.2500, 0.7500) [4 per cell]  4 Ba 2.86, 4 Mo 2.86
Fe (0.2500, 0.2500, 0.2500) [4 per cell]  4 Ba 2.86, 4 Mo 2.86
Mo (0.0000, 0.0000, 0.5000) [4 per cell]  4 Fe 2.86, 4 Be 2.86



Record 2
VASP calculation (PBE) on a relaxed PrMg8 crystal.

Properties
- Electronic total energy: -1.54 eV per atom

Lattice parameters (Å, degrees): 10.5761 10.5761 3.0637 90.00 90.00 120.00
With the nearest neighbours (Å) after each atom.
Space group P6/mmm (No. 191)
Asymmetric unit:
Pr (0.0000, 0.0000, 0.0000) [1 per cell]  2 Pr 3.06
Mg (0.1709, 0.3418, 0.5000) [6 per cell]  5 Mg 2.98-3.13
Mg (0.3333, 0.6667, 0.5000) [2 per cell]  5 Mg 2.98-3.06



Record 3
VASP calculation (PBE) on a relaxed Dy2TmC4 crystal.

Properties
- Electronic total energy: -7.45 eV per atom

Lattice parameters (Å, degrees): 8.5765 9.1461 5.3883 90.00 90.00 90.00
With the nearest neighbours (Å) after each atom.
Space group Ibam (No. 72)
Asymmetric unit:
Dy (0.1415, 0.1435, 0.0000) [8 per cell]  4 C 2.36-2.59
Tm (0.0000, 0.5000, 0.2500) [4 per cell]  4 C 2.45, 2 Tm 2.69
C (0.1340, 0.1401, 0.5000) [8 per cell]  1 C 1.36
C (0.2148, 0.4038, 0.0000) [8 per cell]  1 C 1.36



Record 4
VASP calculation (PBE) on a relaxed Mg2Cd2O5 crystal.

Properties
- Electronic total energy: -4.15 eV per atom

Lattice parameters (Å, degrees): 3.8471 3.8471 8.3781 90.00 90.00 90.00
With the nearest neighbours (Å) after each atom.
Space group P4/mmm (No. 123)
Asymmetric unit:
Mg (0.0000, 0.0000, 0.0000) [1 per cell]  8 O 2.24
Mg (0.0000, 0.0000, 0.5000) [1 per cell]  4 O 2.72
Cd (0.5000, 0.5000, 0.2335) [2 per cell]  5 O 2.09-2.23
O (0.0000, 0.5000, 0.1365) [4 per cell]  2 Cd 2.09, 2 Mg 2.24, 1 O 2.29
O (0.5000, 0.5000, 0.5000) [1 per cell]  2 Cd 2.23